First-principles (PBE) data for a geometry-optimized TbCuGe structure, as listed in Alexandria.

Output
Energy of formation ... -0.17 eV/atom
SG ... I4mm
Magnetic moment ... 0.0 μB per formula unit

Cell lengths 3.9316, 3.9316, 4.9248 Å; angles 113.53, 113.53, 90.00 degrees
With the nearest neighbours (Å) after each atom.
Sites, in units of the cell vectors:
Tb 0.6182 0.6182 0.2364  5 Cu 2.81-3.05, 5 Ge 2.85-3.04
Ge 0.2681 0.2681 0.5362  1 Cu 2.47
Cu 0.9637 0.9637 0.9275  1 Ge 2.47

=====

First-principles (PBE) data for a geometry-optimized Tb3CuGe2 structure, as listed in Alexandria.

Output
Energy of formation ... -0.71 eV/atom
SG ... Pnma
Magnetic moment ... 0.0 μB per formula unit

Cell lengths 4.2325, 11.4890, 11.4336 Å; angles 90.00, 90.00, 90.00 degrees
With the nearest neighbours (Å) after each atom.
Sites, in units of the cell vectors:
Tb 0.7500 0.9376 0.1227  5 Ge 3.02-3.10, 3 Cu 3.04-3.11
Tb 0.7500 0.3040 0.7891  2 Cu 2.86, 4 Ge 2.98-3.07
Tb 0.2500 0.1238 0.5593  1 Cu 2.89, 5 Ge 2.97-3.17
Tb 0.7500 0.5624 0.6227  5 Ge 3.02-3.10, 3 Cu 3.04-3.11
Tb 0.7500 0.1960 0.2891  2 Cu 2.86, 4 Ge 2.98-3.07
Tb 0.2500 0.8040 0.7109  2 Cu 2.86, 4 Ge 2.98-3.07
Tb 0.2500 0.3762 0.0593  1 Cu 2.89, 5 Ge 2.97-3.17
Tb 0.2500 0.4376 0.3773  5 Ge 3.02-3.10, 3 Cu 3.04-3.11
Tb 0.7500 0.8762 0.4407  1 Cu 2.89, 5 Ge 2.97-3.17
Tb 0.2500 0.6960 0.2109  2 Cu 2.86, 4 Ge 2.98-3.07
Tb 0.7500 0.6238 0.9407  1 Cu 2.89, 5 Ge 2.97-3.17
Tb 0.2500 0.0624 0.8773  5 Ge 3.02-3.10, 3 Cu 3.04-3.11
Cu 0.2500 0.1356 0.1325  3 Ge 2.53-2.54
Cu 0.7500 0.8644 0.8675  3 Ge 2.53-2.54
Cu 0.2500 0.3644 0.6325  3 Ge 2.53-2.54
Cu 0.7500 0.6356 0.3675  3 Ge 2.53-2.54
Ge 0.2500 0.0034 0.3099  1 Cu 2.53
Ge 0.2500 0.6850 0.4796  2 Cu 2.54
Ge 0.7500 0.9966 0.6901  1 Cu 2.53
Ge 0.2500 0.4966 0.8099  1 Cu 2.53
Ge 0.2500 0.8150 0.9796  2 Cu 2.54
Ge 0.7500 0.1850 0.0204  2 Cu 2.54
Ge 0.7500 0.5034 0.1901  1 Cu 2.53
Ge 0.7500 0.3150 0.5204  2 Cu 2.54

=====

Q: Look up the energy of formation of the first one.
A: -0.17 eV/atom